Record 1
VASP calculation (PBE) on an optimized crystal structure of Tl3Cd2Cl7.

abc: 13.5632 13.5632 13.5632
angles: 157.57 157.57 31.93
Last column: nearest neighbours and their distance in Å.
Fractional coordinates of all 12 atoms:
Tl 0.0000 0.0000 0.0000  12 Cl 3.64-3.73
Tl 0.1804 0.1804 0.0000  5 Cl 3.12-3.43
Tl 0.8196 0.8196 0.0000  5 Cl 3.12-3.43
Cd 0.3983 0.3983 0.0000  6 Cl 2.56-2.65
Cd 0.6017 0.6017 0.0000  6 Cl 2.56-2.65
Cl 0.0963 0.5963 0.5000  2 Cd 2.64
Cl 0.3000 0.3000 0.0000  1 Cd 2.56
Cl 0.4037 0.9037 0.5000  2 Cd 2.64
Cl 0.5000 0.5000 0.0000  2 Cd 2.65
Cl 0.5963 0.0963 0.5000  2 Cd 2.64
Cl 0.7000 0.7000 0.0000  1 Cd 2.56
Cl 0.9037 0.4037 0.5000  2 Cd 2.64

Crystal system = tetragonal
D(E_F) = 0.000 states/eV per atom

Record 2
VASP calculation (PBE) on an optimized crystal structure of TlCd3Cl7.

abc: 7.1210 7.1210 6.7268
angles: 97.00 97.00 79.99
Last column: nearest neighbours and their distance in Å.
Fractional coordinates of all 11 atoms:
Tl 0.0000 0.0000 0.0000  6 Cl 3.25-3.36
Cd 0.2925 0.7075 0.5000  5 Cl 2.54-2.69
Cd 0.5000 0.5000 0.0000  6 Cl 2.66-2.68
Cd 0.7075 0.2925 0.5000  5 Cl 2.54-2.69
Cl 0.0000 0.0000 0.5000  2 Cd 2.68
Cl 0.1629 0.5791 0.7836  2 Cd 2.54-2.66
Cl 0.3596 0.3596 0.2926  3 Cd 2.68-2.69
Cl 0.4209 0.8371 0.2164  2 Cd 2.54-2.66
Cl 0.5791 0.1629 0.7836  2 Cd 2.54-2.66
Cl 0.6404 0.6404 0.7074  3 Cd 2.68-2.69
Cl 0.8371 0.4209 0.2164  2 Cd 2.54-2.66

Crystal system = monoclinic
D(E_F) = 0.000 states/eV per atom

Record 3
VASP calculation (PBE) on an optimized crystal structure of Tl3Cd2Cl7.

abc: 13.2020 13.2020 5.2055
angles: 90.00 90.00 156.72
Last column: nearest neighbours and their distance in Å.
Fractional coordinates of all 12 atoms:
Tl 0.0000 0.0000 0.0000  12 Cl 3.61-3.72
Tl 0.1807 0.8193 0.0000  8 Cl 3.39-3.76
Tl 0.8193 0.1807 0.0000  8 Cl 3.39-3.76
Cd 0.3969 0.6031 0.5000  6 Cl 2.52-2.67
Cd 0.6031 0.3969 0.5000  6 Cl 2.52-2.67
Cl 0.0968 0.9032 0.5000  2 Cd 2.67
Cl 0.2995 0.7005 0.5000  1 Cd 2.52
Cl 0.4028 0.5972 0.0000  2 Cd 2.61
Cl 0.5000 0.5000 0.5000  2 Cd 2.67
Cl 0.5972 0.4028 0.0000  2 Cd 2.61
Cl 0.7005 0.2995 0.5000  1 Cd 2.52
Cl 0.9032 0.0968 0.5000  2 Cd 2.67

Crystal system = orthorhombic
D(E_F) = 0.000 states/eV per atom

Record 4
VASP calculation (PBE) on an optimized crystal structure of Tl2CdCl8.

abc: 9.8720 9.8720 12.8442
angles: 126.58 126.58 54.21
Last column: nearest neighbours and their distance in Å.
Fractional coordinates of all 22 atoms:
Tl 0.1586 0.6810 0.9653  4 Cl 2.41-2.54
Tl 0.3190 0.8414 0.5347  4 Cl 2.41-2.54
Tl 0.6810 0.1586 0.4653  4 Cl 2.41-2.54
Tl 0.8414 0.3190 0.0347  4 Cl 2.41-2.54
Cd 0.4990 0.5010 0.7500  6 Cl 2.66-2.70
Cd 0.5010 0.4990 0.2500  6 Cl 2.66-2.70
Cl 0.1358 0.1477 0.5486  1 Tl 2.41
Cl 0.1477 0.1358 0.0486  1 Tl 2.41
Cl 0.1780 0.6294 0.7584  1 Tl 2.50, 1 Cd 2.68
Cl 0.2089 0.6152 0.2950  1 Tl 2.51, 1 Cd 2.70
Cl 0.3060 0.3747 0.9774  1 Tl 2.54, 1 Cd 2.66
Cl 0.3706 0.8220 0.7416  1 Tl 2.50, 1 Cd 2.68
Cl 0.3747 0.3060 0.4774  1 Tl 2.54, 1 Cd 2.66
Cl 0.3848 0.7911 0.2050  1 Tl 2.51, 1 Cd 2.70
Cl 0.6152 0.2089 0.7950  1 Tl 2.51, 1 Cd 2.70
Cl 0.6253 0.6940 0.5226  1 Tl 2.54, 1 Cd 2.66
Cl 0.6294 0.1780 0.2584  1 Tl 2.50, 1 Cd 2.68
Cl 0.6940 0.6253 0.0226  1 Tl 2.54, 1 Cd 2.66
Cl 0.7911 0.3848 0.7050  1 Tl 2.51, 1 Cd 2.70
Cl 0.8220 0.3706 0.2416  1 Tl 2.50, 1 Cd 2.68
Cl 0.8523 0.8642 0.9514  1 Tl 2.41
Cl 0.8642 0.8523 0.4514  1 Tl 2.41

Crystal system = monoclinic
D(E_F) = 0.000 states/eV per atom

Record 5
VASP calculation (PBE) on an optimized crystal structure of TlCdCl2.

abc: 10.0264 10.0264 10.0264
angles: 21.93 21.93 21.93
Last column: nearest neighbours and their distance in Å.
Fractional coordinates of all 4 atoms:
Tl 0.0000 0.0000 0.0000  2 Cl 3.34
Cd 0.5000 0.5000 0.5000  6 Cl 2.69
Cl 0.1140 0.1140 0.1140  3 Cd 2.69
Cl 0.8860 0.8860 0.8860  3 Cd 2.69

Crystal system = trigonal
D(E_F) = 0.369 states/eV per atom

Record 6
VASP calculation (PBE) on an optimized crystal structure of TlCd2Cl2.

abc: 6.7951 6.7951 6.7951
angles: 138.09 138.09 60.76
Last column: nearest neighbours and their distance in Å.
Fractional coordinates of all 5 atoms:
Tl 0.0000 0.0000 0.0000  8 Cd 3.71, 8 Cl 3.81
Cd 0.3818 0.3818 0.0000  1 Cd 2.77, 4 Cl 2.88
Cd 0.6182 0.6182 0.0000  1 Cd 2.77, 4 Cl 2.88
Cl 0.2500 0.7500 0.5000  4 Cd 2.88
Cl 0.7500 0.2500 0.5000  4 Cd 2.88

Crystal system = tetragonal
D(E_F) = 0.406 states/eV per atom

Record 7
VASP calculation (PBE) on an optimized crystal structure of TlCd4Cl8.

abc: 8.3626 8.3626 8.3626
angles: 60.00 60.00 60.00
Last column: nearest neighbours and their distance in Å.
Fractional coordinates of all 13 atoms:
Tl 0.0000 0.0000 0.0000  4 Cl 3.01
Cd 0.1385 0.6205 0.6205  6 Cl 2.73-2.79
Cd 0.6205 0.1385 0.6205  6 Cl 2.73-2.79
Cd 0.6205 0.6205 0.1385  6 Cl 2.73-2.79
Cd 0.6205 0.6205 0.6205  6 Cl 2.73-2.79
Cl 0.3900 0.3900 0.3900  3 Cd 2.73
Cl 0.3900 0.3900 0.8299  3 Cd 2.73
Cl 0.3900 0.8299 0.3900  3 Cd 2.73
Cl 0.4407 0.8531 0.8531  3 Cd 2.79, 1 Tl 3.01
Cl 0.8299 0.3900 0.3900  3 Cd 2.73
Cl 0.8531 0.4407 0.8531  3 Cd 2.79, 1 Tl 3.01
Cl 0.8531 0.8531 0.4407  3 Cd 2.79, 1 Tl 3.01
Cl 0.8531 0.8531 0.8531  3 Cd 2.79, 1 Tl 3.01

Crystal system = cubic
D(E_F) = 0.279 states/eV per atom

Record 8
VASP calculation (PBE) on an optimized crystal structure of TlCdCl2.

abc: 4.5695 4.5695 7.1862
angles: 108.30 108.30 59.80
Last column: nearest neighbours and their distance in Å.
Fractional coordinates of all 4 atoms:
Tl 0.0000 0.0000 0.0000  6 Cl 3.24
Cd 0.5000 0.5000 0.5000  6 Cl 3.00-3.02
Cl 0.2399 0.2399 0.7176  3 Cd 3.00-3.02, 3 Tl 3.24
Cl 0.7601 0.7601 0.2824  3 Cd 3.00-3.02, 3 Tl 3.24

Crystal system = monoclinic
D(E_F) = 0.500 states/eV per atom

Energy relative to the elements, uncorrected in meV/atom, matching the order above: -1032; -1035; -1011; -751; -709; -477; -920; -666